Record 1
Zn2Sb2Te | PBE-GGA | optimized geometry Values from VASP.

```
&SYSTEM
  ibrav = 0, nat = 10, ntyp = 3
/
ATOMIC_SPECIES
Sb 121.76 Sb.upf
Zn 65.41 Zn.upf
Te 127.60 Te.upf
CELL_PARAMETERS angstrom
7.897 0.000 0.000
0.000 7.897 0.000
0.000 0.000 3.792
ATOMIC_POSITIONS crystal
Sb 0.199 0.699 0.500
Sb 0.699 0.801 0.500
Sb 0.801 0.301 0.500
Sb 0.301 0.199 0.500
Zn 0.387 0.887 0.000
Zn 0.887 0.613 0.000
Zn 0.613 0.113 0.000
Zn 0.113 0.387 0.000
Te 0.000 0.000 0.000
Te 0.500 0.500 0.000
```

Summary:
* formation energy (no corrections): 212 meV per atom
* density: 7.05 g/cm3
* E above lowest polymorph: 0.41 eV/f.u.
* N(E_F): 4.302 states/eV per cell
* space group: No. 127
* crystal system: tetragonal

---

Record 2
DyGaAg2 | PBE-GGA | optimized geometry Values from VASP.

```
&SYSTEM
  ibrav = 0, nat = 8, ntyp = 3
/
ATOMIC_SPECIES
Dy 162.50 Dy.upf
Ga 69.72 Ga.upf
Ag 107.87 Ag.upf
CELL_PARAMETERS angstrom
4.817 0.000 0.000
0.000 5.364 0.458
0.000 -0.535 6.225
ATOMIC_POSITIONS crystal
Dy 0.750 0.354 0.750
Dy 0.250 0.646 0.250
Ga 0.750 0.284 0.250
Ga 0.250 0.716 0.750
Ag 0.750 0.846 0.995
Ag 0.250 0.154 0.005
Ag 0.750 0.846 0.505
Ag 0.250 0.154 0.495
```

Summary:
* density: 9.18 g/cm3
* E above lowest polymorph: 0.00 eV/f.u.
* N(E_F): 2.428 states/eV per cell
* space group: No. 59
* crystal system: orthorhombic